Record 1
Compound: Na3Dy
Source: Alexandria
Functional: PBE
Structure: optimized geometry

a b c (Å): 7.3264 7.3264 5.8891
angles (deg): 90.00 90.00 120.00
Space group P6_3/mmc (No. 194)
Symmetry-distinct sites (fractional):
Na 0.1662 0.3324 0.2500 x6
Dy 0.3333 0.6667 0.7500 x2

Output
Formation energy   1.50 eV per formula unit
Density   2.808 Mg/m³
Crystal system   hexagonal



Record 2
Compound: Na2NpSc2Se6
Source: Alexandria
Functional: PBE
Structure: optimized geometry

a b c (Å): 6.876 11.978 7.430
angles (deg): 90.00 108.01 90.00
Space group C2/m (No. 12)
Symmetry-distinct sites (fractional):
Na 0.000 0.165 0.000 x4
Np 0.000 0.000 0.500 x2
Sc 0.000 0.333 0.500 x4
Se 0.230 0.500 0.719 x4
Se 0.243 0.171 0.719 x8

Output
Density   4.831 Mg/m³
Crystal system   monoclinic
Energy relative to the elements, uncorrected   -15.8 eV per formula unit



Record 3
Compound: TmZn11Pt
Source: Alexandria
Functional: PBE
Structure: optimized geometry

a b c (Å): 5.219 12.605 6.722
angles (deg): 90.00 111.81 90.00
Space group C2/m (No. 12)
Symmetry-distinct sites (fractional):
Tm 0.000 0.000 0.000 x2
Zn 0.000 0.500 0.500 x2
Zn 0.103 0.391 0.213 x8
Zn 0.166 0.176 0.353 x8
Zn 0.250 0.250 0.000 x4
Pt 0.000 0.000 0.500 x2

Output
Formation energy   -3.34 eV per formula unit
Density   8.764 Mg/m³
Crystal system   monoclinic